1.
BaAlHg2 PBE optimized geometry; DOS(E_F) = 3.42 states/eV/f.u.; energy of formation = -0.27 eV/atom
1.0
-0.083 -1.305 4.539
-0.516 -4.554 1.146
6.095 -2.689 1.797
Al Hg Ba
1 2 1
Direct
0.436 0.436 0.692
0.028 0.028 0.916
0.791 0.791 0.627
0.245 0.245 0.264

2.
TmCuPd6 PBE optimized geometry; DOS(E_F) = 6.33 states/eV/f.u.; energy of formation = -0.16 eV/atom
1.0
-4.819 0.265 0.473
-2.405 -0.295 -4.201
-2.581 -6.768 -0.521
Tm Cu Pd
1 1 6
Direct
0.500 0.500 0.500
0.000 0.000 0.000
0.066 0.557 0.295
0.557 0.066 0.295
0.443 0.934 0.705
0.934 0.443 0.705
0.351 0.351 0.943
0.649 0.649 0.057

3.
CaZnCu2 PBE optimized geometry; DOS(E_F) = 1.78 states/eV/f.u.; energy of formation = 0.01 eV/atom
1.0
4.620 -0.744 -0.110
0.704 4.626 0.110
-2.326 -2.402 3.275
Zn Ca Cu
1 1 2
Direct
0.457 0.457 0.000
0.752 0.252 0.500
0.047 0.047 0.000
0.245 0.745 0.500

4.
Tb3Si3Ir2 PBE optimized geometry; DOS(E_F) = 3.67 states/eV/f.u.; E_form (uncorrected) = -972 meV per atom
1.0
-4.473 -3.553 -0.463
2.751 -2.547 -7.026
7.272 -10.000 6.472
Tb Si Ir
12 12 8
Direct
0.123 0.455 0.386
0.623 0.045 0.614
0.877 0.545 0.886
0.377 0.955 0.114
0.877 0.545 0.614
0.377 0.955 0.386
0.123 0.455 0.114
0.623 0.045 0.886
0.628 0.307 0.250
0.128 0.193 0.750
0.372 0.693 0.750
0.872 0.807 0.250
0.095 0.157 0.250
0.595 0.343 0.750
0.905 0.843 0.750
0.405 0.657 0.250
0.630 0.304 0.459
0.130 0.196 0.541
0.370 0.696 0.959
0.870 0.804 0.041
0.370 0.696 0.541
0.870 0.804 0.459
0.630 0.304 0.041
0.130 0.196 0.959
0.891 0.088 0.409
0.391 0.412 0.591
0.109 0.912 0.909
0.609 0.588 0.091
0.109 0.912 0.591
0.609 0.588 0.409
0.891 0.088 0.091
0.391 0.412 0.909

5.
HoGa7Ni5 PBE optimized geometry; DOS(E_F) = 6.88 states/eV/f.u.; energy of formation = -0.46 eV/atom
1.0
-0.716 4.962 -0.867
-3.853 1.147 -5.178
-5.114 2.446 3.291
Ho Ga Ni
1 7 5
Direct
0.004 0.996 0.996
0.649 0.351 0.351
0.342 0.658 0.658
0.985 0.358 0.673
0.985 0.673 0.358
0.268 0.232 0.232
0.513 0.787 0.186
0.513 0.186 0.787
0.499 0.008 0.488
0.005 0.008 0.488
0.499 0.488 0.008
0.005 0.488 0.008
0.733 0.767 0.767

6.
AcBiSb PBE optimized geometry; DOS(E_F) = 1.19 states/eV/f.u.; E_form (uncorrected) = -721 meV per atom
1.0
-2.888 3.395 1.568
0.781 -1.398 4.468
6.609 6.396 -1.676
Ac Bi Sb
2 2 2
Direct
0.250 0.109 0.217
0.750 0.891 0.783
0.250 0.434 0.868
0.750 0.566 0.132
0.250 0.750 0.501
0.750 0.250 0.499

7.
HgSbI4 PBE optimized geometry; DOS(E_F) = 0.94 states/eV/f.u.; E_form (uncorrected) = -221 meV per atom
1.0
5.919 0.000 0.000
-2.959 10.105 -0.212
0.000 -3.262 10.657
Hg Sb I
2 2 8
Direct
0.118 0.237 0.693
0.882 0.763 0.307
0.193 0.387 0.294
0.807 0.613 0.706
0.063 0.126 0.335
0.148 0.296 0.034
0.718 0.435 0.355
0.625 0.249 0.702
0.375 0.751 0.298
0.282 0.565 0.645
0.852 0.704 0.966
0.937 0.874 0.665

8.
Y2C PBE optimized geometry; DOS(E_F) = 2.35 states/eV/f.u.; energy of formation = 0.37 eV/atom
1.0
4.126 0.000 0.000
0.000 4.126 0.000
0.000 0.000 6.907
Y C
4 2
Direct
0.000 0.000 0.000
0.500 0.500 0.000
0.500 0.000 0.391
0.000 0.500 0.609
0.500 0.000 0.743
0.000 0.500 0.257

9.
Li2CuClO PBE optimized geometry; E_form (uncorrected) = -1293 meV per atom
1.0
4.175 0.000 0.000
0.000 4.175 0.000
0.000 0.000 3.743
Li O Cu Cl
2 1 1 1
Direct
0.000 0.500 0.000
0.500 0.000 0.000
0.000 0.000 0.000
0.000 0.000 0.500
0.500 0.500 0.500

10.
La3Pr6NdY2 PBE optimized geometry; DOS(E_F) = 20.43 states/eV/f.u.; energy of formation = 0.01 eV/atom
1.0
6.408 -0.003 0.010
-3.205 5.549 0.010
-1.093 -1.892 12.048
La Pr Nd Y
3 6 1 2
Direct
0.167 0.833 0.500
0.833 0.167 0.500
0.500 0.500 0.500
0.918 0.584 0.754
0.749 0.749 0.246
0.082 0.416 0.246
0.584 0.918 0.754
0.251 0.251 0.754
0.416 0.082 0.246
0.000 0.000 0.000
0.333 0.667 0.000
0.667 0.333 0.000

11.
HfTaReRu PBE optimized geometry; DOS(E_F) = 1.10 states/eV/f.u.; energy of formation = -0.53 eV/atom
1.0
4.554 0.000 0.000
2.277 3.944 0.000
2.277 1.315 3.719
Ru Re Hf Ta
1 1 1 1
Direct
0.750 0.750 0.750
0.250 0.250 0.250
0.500 0.500 0.500
0.000 0.000 0.000

12.
Ac6La5Th PBE optimized geometry; DOS(E_F) = 23.87 states/eV/f.u.; energy of formation = 0.05 eV/atom
1.0
-3.551 3.984 1.066
-8.195 -6.834 -1.760
5.919 -0.674 8.280
Ac Th La
6 1 5
Direct
0.836 0.589 0.672
0.836 0.083 0.672
0.500 0.756 0.000
0.500 0.244 0.000
0.164 0.917 0.328
0.164 0.411 0.328
0.000 0.000 0.000
0.659 0.159 0.318
0.335 0.334 0.669
0.000 0.500 0.000
0.665 0.666 0.331
0.341 0.841 0.682

13.
PmPrTeI PBE optimized geometry; DOS(E_F) = 2.84 states/eV/f.u.; E_form (uncorrected) = -1124 meV per atom
1.0
-1.698 5.114 1.044
-4.832 0.838 2.464
-0.162 1.836 5.170
Pr I Te Pm
1 1 1 1
Direct
0.000 0.000 0.000
0.250 0.250 0.250
0.750 0.750 0.750
0.500 0.500 0.500

14.
Sm2Ho2In PBE optimized geometry; DOS(E_F) = 5.39 states/eV/f.u.; energy of formation = 0.04 eV/atom
1.0
-0.363 -2.748 3.599
-1.556 -6.422 -5.062
8.150 -1.638 -0.428
Sm Ho In
4 4 2
Direct
0.000 0.352 0.852
0.000 0.852 0.648
0.000 0.648 0.148
0.000 0.148 0.352
0.500 0.153 0.653
0.500 0.653 0.847
0.500 0.847 0.347
0.500 0.347 0.153
0.000 0.000 0.000
0.000 0.500 0.500

15.
LaCoCu PBE optimized geometry; DOS(E_F) = 1.99 states/eV/f.u.; energy of formation = 0.18 eV/atom
1.0
-2.104 3.767 -1.081
-3.818 1.072 2.015
-0.119 3.386 2.882
Co Cu La
1 1 1
Direct
0.750 0.750 0.750
0.000 0.000 0.000
0.500 0.500 0.500

16.
La3Mg9Ag2 PBE optimized geometry; DOS(E_F) = 12.21 states/eV/f.u.; energy of formation = -0.11 eV/atom
1.0
-1.815 -4.441 -1.591
-1.836 -4.726 7.258
-8.825 0.594 0.378
La Mg Ag
3 9 2
Direct
0.000 0.000 0.000
0.712 0.288 0.288
0.288 0.712 0.712
0.000 0.500 0.500
0.636 0.001 0.727
0.364 0.999 0.273
0.636 0.727 0.001
0.364 0.273 0.999
0.866 0.854 0.414
0.134 0.146 0.586
0.866 0.414 0.854
0.134 0.586 0.146
0.500 0.339 0.661
0.500 0.661 0.339

17.
BaY2Cl PBE optimized geometry; DOS(E_F) = 5.84 states/eV/f.u.; E_form (uncorrected) = -322 meV per atom
1.0
-1.568 2.157 2.672
-4.565 -2.986 -0.269
2.578 -4.396 5.062
Ba Cl Y
1 1 2
Direct
0.500 0.000 0.500
0.000 0.500 0.500
0.000 0.000 0.000
0.500 0.500 0.000

18.
AcTb12Pm6 PBE optimized geometry; DOS(E_F) = 30.40 states/eV/f.u.; energy of formation = 0.20 eV/atom
1.0
-8.115 -1.284 3.210
4.688 -2.392 7.079
0.483 8.760 0.910
Ac Tb Pm
1 12 6
Direct
0.000 0.000 0.000
0.759 0.241 0.500
0.356 0.081 0.356
0.356 0.356 0.081
0.919 0.644 0.644
0.644 0.644 0.919
0.644 0.919 0.644
0.500 0.759 0.241
0.241 0.500 0.759
0.241 0.759 0.500
0.500 0.241 0.759
0.759 0.500 0.241
0.081 0.356 0.356
0.898 0.348 0.898
0.898 0.898 0.348
0.348 0.898 0.898
0.102 0.102 0.652
0.102 0.652 0.102
0.652 0.102 0.102

19.
Dy3YIr PBE optimized geometry; DOS(E_F) = 5.75 states/eV/f.u.; energy of formation = -0.34 eV/atom
1.0
-1.635 -0.541 5.938
-5.079 -3.729 -1.738
4.348 -6.215 0.631
Dy Y Ir
6 2 2
Direct
0.422 0.329 0.201
0.426 0.862 0.951
0.926 0.491 0.451
0.922 0.024 0.701
0.926 0.491 0.951
0.426 0.862 0.451
0.430 0.328 0.701
0.930 0.024 0.201
0.175 0.677 0.701
0.675 0.675 0.201

20.
Si2WSe PBE optimized geometry; DOS(E_F) = 1.56 states/eV/f.u.; E_form (uncorrected) = 230 meV per atom
1.0
3.210 0.000 0.000
0.000 3.329 0.003
0.000 1.898 6.067
Se Si W
1 2 1
Direct
0.500 0.750 0.750
0.000 0.874 0.040
0.000 0.626 0.460
0.500 0.250 0.250

21.
SrTlFe2Br8 PBE optimized geometry; DOS(E_F) = 8.97 states/eV/f.u.; E_form (uncorrected) = -922 meV per atom
1.0
6.955 0.000 0.000
-3.478 6.023 0.000
0.000 0.000 10.350
Sr Tl Fe Br
1 1 2 8
Direct
0.000 0.000 0.500
0.000 0.000 0.000
0.667 0.333 0.237
0.333 0.667 0.763
0.333 0.667 0.990
0.338 0.337 0.309
0.663 0.002 0.309
0.667 0.333 0.010
0.337 0.998 0.691
0.662 0.663 0.691
0.002 0.338 0.691
0.998 0.662 0.309

22.
TbCeTmHf PBE optimized geometry; DOS(E_F) = 8.56 states/eV/f.u.; energy of formation = 0.25 eV/atom
1.0
-0.006 -2.204 -4.937
4.618 -0.411 -2.782
2.252 -4.850 -0.799
Tb Tm Hf Ce
1 1 1 1
Direct
0.750 0.750 0.750
0.500 0.500 0.500
0.000 0.000 0.000
0.250 0.250 0.250

23.
HgSb2Te PBE optimized geometry; DOS(E_F) = 2.90 states/eV/f.u.; E_form (uncorrected) = 217 meV per atom
1.0
5.342 -0.001 0.000
-0.178 5.339 0.000
-2.582 -2.669 3.840
Hg Sb Te
1 2 1
Direct
0.750 0.250 0.500
0.000 0.000 0.000
0.250 0.750 0.500
0.500 0.500 0.000